(1)
# Y2SnPd2

Y2SnPd2 at its PBEsol-relaxed geometry (SCAN, the Alexandria database).

Energy of formation: -719 meV/atom
Total magnetic moment: 0.1 Bohr magnetons per cell

POSCAR file:
```
Y2SnPd2
1.0
-1.608 -1.751 2.903
2.411 -2.849 -0.384
4.784 6.001 3.845
Y Pd Sn
2 2 1
Cartesian
3.951 2.819 3.888 Y
1.637 -1.419 2.476 Y
3.798 0.425 2.360 Pd
1.789 0.974 4.004 Pd
0.000 0.000 0.000 Sn
```

(2)
# Hf2TiTlSe

Hf2TiTlSe at its PBEsol-relaxed geometry (SCAN, the Alexandria database).

Formation energy (no corrections): 716 meV per atom
Total magnetic moment: 0.0 Bohr magnetons per cell

POSCAR file:
```
Hf2TiTlSe
1.0
-0.789 -4.431 -1.796
4.781 -0.736 -0.285
-0.013 -1.941 4.796
Hf Se Ti Tl
2 1 1 1
Cartesian
2.390 -0.368 -0.143 Hf
-0.395 -2.215 -0.898 Hf
1.989 -3.554 1.358 Se
0.000 0.000 0.000 Ti
-0.006 -0.971 2.398 Tl
```

(3)
# Hf2InSbIr

Hf2InSbIr at its PBEsol-relaxed geometry (SCAN, the Alexandria database).

Formation energy (no corrections): -104 meV per atom
Total magnetic moment: 0.0 Bohr magnetons per cell

POSCAR file:
```
Hf2InSbIr
1.0
-0.135 3.578 3.485
0.980 -3.399 3.528
4.894 0.778 -0.610
Hf Sb Ir In
2 1 1 1
Cartesian
0.490 -1.700 1.764 Hf
-0.067 1.789 1.742 Hf
2.870 0.478 3.201 Sb
0.000 0.000 0.000 Ir
2.447 0.389 -0.305 In
```

(4)
# NbCuBi2As

NbCuBi2As at its PBEsol-relaxed geometry (SCAN, the Alexandria database).

Energy of formation: 902 meV/atom
Total magnetic moment: 3.0 Bohr magnetons per cell

POSCAR file:
```
NbCuBi2As
1.0
-0.169 1.099 4.053
1.444 -5.180 1.464
5.378 1.452 -0.169
Cu Nb Bi As
1 1 2 1
Cartesian
-0.085 0.549 2.026 Cu
3.327 -1.315 2.674 Nb
0.722 -2.590 0.732 Bi
2.689 0.726 -0.085 Bi
0.000 0.000 0.000 As
```

(5)
# ZnMoAs

ZnMoAs at its PBEsol-relaxed geometry (SCAN, the Alexandria database).

Energy of formation: 447 meV/atom
Total magnetic moment: 0.9 Bohr magnetons per cell

POSCAR file:
```
ZnMoAs
1.0
4.207 0.000 0.000
2.103 3.643 0.000
2.103 1.214 3.435
Zn As Mo
1 1 1
Cartesian
0.000 0.000 0.000 Zn
4.207 2.429 1.717 As
2.103 1.214 0.859 Mo
```

(6)
# Cr5Ir

Cr5Ir at its PBEsol-relaxed geometry (SCAN, the Alexandria database).

Excess energy over the best structure of this formula in the dataset: 0 kJ/mol of formula units
Energy of formation: -134 meV/atom
Total magnetic moment: 2.5 Bohr magnetons per cell

POSCAR file:
```
Cr5Ir
1.0
-2.729 0.509 0.472
-0.179 -2.366 1.516
2.101 4.508 7.283
Cr Ir
5 1
Cartesian
-0.737 0.609 3.479 Cr
0.400 0.858 1.386 Cr
1.701 3.650 5.897 Cr
1.050 2.254 3.641 Cr
-0.070 2.042 5.793 Cr
-1.454 -0.929 0.994 Ir
```

(7)
# N

N at its PBEsol-relaxed geometry (SCAN, the Alexandria database).

Excess energy over the best structure of this formula in the dataset: 1 kJ/mol of formula units
Formation energy (no corrections): 5 meV per atom
Total magnetic moment: 0.0 Bohr magnetons per cell

POSCAR file:
```
N
1.0
7.097 -0.052 -0.048
0.493 7.080 -0.048
0.493 0.457 7.065
N
16
Cartesian
1.898 3.865 0.397 N
0.815 1.841 3.827 N
3.720 6.874 1.872 N
3.697 3.423 3.187 N
7.139 2.095 3.039 N
4.386 4.062 3.782 N
2.637 3.528 6.723 N
3.999 0.510 1.564 N
7.268 5.644 3.142 N
6.185 3.620 6.572 N
4.364 0.611 5.096 N
7.739 7.166 6.672 N
5.447 3.957 0.246 N
0.345 0.319 0.297 N
0.944 5.390 3.929 N
4.084 6.975 5.405 N
```

(8)
# Zn2TeAu

Zn2TeAu at its PBEsol-relaxed geometry (SCAN, the Alexandria database).

Formation energy (no corrections): -31 meV per atom
Total magnetic moment: 0.0 Bohr magnetons per cell

POSCAR file:
```
Zn2TeAu
1.0
3.345 0.000 0.000
0.000 3.831 0.000
-1.672 -1.916 6.178
Te Zn Au
1 2 1
Cartesian
1.672 0.000 2.521 Te
0.000 0.000 0.130 Zn
0.000 1.916 3.928 Zn
0.000 0.000 5.779 Au
```